This record from Alexandria via LeMat-Bulk describes crystalline SrCaAg2As2 at its relaxed geometry. The functional is PBE.

Unit cell a=4.536 b=4.536 c=8.118 alpha=90.00 beta=90.00 gamma=120.00
Fractional positions:
Ca1 0.000 0.000 0.500
As1 0.333 0.667 0.259
As2 0.667 0.333 0.741
Sr1 0.000 0.000 0.000
Ag1 0.667 0.333 0.271
Ag2 0.333 0.667 0.729

Properties
final energy: -23.281 eV per formula unit
total magnetic moment: 0.000 μB per formula unit

This record from Alexandria via LeMat-Bulk describes crystalline Al2Zn2Sn at its relaxed geometry. The functional is PBE.

Unit cell a=7.943 b=7.943 c=2.961 alpha=90.00 beta=90.00 gamma=90.00
Fractional positions:
Al1 0.674 0.826 0.500
Al2 0.826 0.326 0.500
Al3 0.326 0.174 0.500
Al4 0.174 0.674 0.500
Zn1 0.378 0.878 0.000
Zn2 0.122 0.378 0.000
Zn3 0.622 0.122 0.000
Zn4 0.878 0.622 0.000
Sn1 0.000 0.000 0.000
Sn2 0.500 0.500 0.000

Properties
energy above the lowest structure with this stoichiometry: 38.7 meV per atom
total magnetic moment: 0.000 μB per formula unit

This record from Alexandria via LeMat-Bulk describes crystalline CsRb3Th2Se6 at its relaxed geometry. The functional is PBE.

Unit cell a=4.486 b=9.887 c=10.594 alpha=103.93 beta=102.22 gamma=90.00
Fractional positions:
Se1 0.968 0.722 0.937
Se2 0.032 0.278 0.063
Se3 0.679 0.149 0.358
Se4 0.680 0.550 0.361
Se5 0.320 0.450 0.639
Se6 0.321 0.851 0.642
Rb1 0.155 0.833 0.310
Rb2 0.500 0.500 0.000
Rb3 0.845 0.167 0.690
Cs1 0.500 0.000 0.000
Th1 0.169 0.338 0.338
Th2 0.831 0.662 0.662

Properties
energy relative to the elements, uncorrected: -1533 meV per atom
total magnetic moment: 0.000 μB per formula unit

This record from Alexandria via LeMat-Bulk describes crystalline TbTm3Au2 at its relaxed geometry. The functional is PBE.

Unit cell a=4.909 b=7.075 c=8.850 alpha=90.00 beta=90.00 gamma=90.00
Fractional positions:
Tm1 0.500 0.148 0.830
Tm2 0.000 0.486 0.928
Tm3 0.500 0.648 0.170
Tm4 0.000 0.986 0.072
Tm5 0.000 0.351 0.328
Tm6 0.000 0.851 0.672
Au1 0.500 0.245 0.148
Au2 0.000 0.256 0.653
Au3 0.000 0.756 0.347
Au4 0.500 0.745 0.852
Tb1 0.500 0.514 0.574
Tb2 0.500 0.014 0.426

Properties
energy above the lowest structure with this stoichiometry: 0.0 meV per atom
total magnetic moment: 0.000 μB per formula unit

This record from Alexandria via LeMat-Bulk describes crystalline Dy6As3PbSe2 at its relaxed geometry. The functional is PBE.

Unit cell a=4.120 b=8.419 c=9.321 alpha=103.15 beta=102.77 gamma=90.00
Fractional positions:
Dy1 0.328 0.921 0.656
Dy2 0.001 0.735 0.002
Dy3 0.335 0.409 0.671
Dy4 0.999 0.265 0.998
Dy5 0.672 0.079 0.344
Dy6 0.665 0.591 0.329
Se1 0.169 0.338 0.338
Se2 0.831 0.662 0.662
As1 0.167 0.832 0.334
As2 0.500 0.500 0.000
As3 0.833 0.168 0.666
Pb1 0.500 0.000 0.000

Properties
energy relative to the elements, uncorrected: -1461 meV per atom
total magnetic moment: 0.000 μB per formula unit

This record from Alexandria via LeMat-Bulk describes crystalline TlAgBr3 at its relaxed geometry. The functional is PBE.

Unit cell a=7.673 b=7.673 c=6.643 alpha=90.00 beta=90.00 gamma=120.00
Fractional positions:
Br1 0.660 0.660 0.240
Br2 0.000 0.340 0.240
Br3 0.660 0.000 0.760
Br4 0.340 0.000 0.240
Br5 0.340 0.340 0.760
Br6 0.000 0.660 0.760
Ag1 0.000 0.000 0.743
Ag2 0.000 0.000 0.257
Tl1 0.333 0.667 0.500
Tl2 0.667 0.333 0.500

Properties
energy relative to the elements, uncorrected: -428 meV per atom
total magnetic moment: 0.000 μB per formula unit

N(E_F), record by record: 0.10 5.14 0.00 11.78 2.65 10.27 states/eV per cell